Entry 1:
Pm4ZnPd: relaxed, GGA-PBE.

Cell: 4.9994 5.0007 7.1968 Å, 89.88 89.95 90.00°
With the nearest neighbours (Å) after each atom.
Positions (direct):
Pm: 0.0016 0.4980 0.7468  2 Pd 3.07-3.08, 2 Zn 3.08
Pm: 0.5016 0.9980 0.7468  2 Pd 3.07-3.08, 2 Zn 3.09
Pm: 0.5010 0.9966 0.2494  2 Pd 3.07-3.08, 2 Zn 3.09
Pm: 0.0010 0.4966 0.2495  2 Pd 3.07-3.08, 2 Zn 3.09
Zn: 0.5013 0.4972 0.9980  8 Pm 3.08-3.09
Pd: 0.0013 0.9973 0.4982  8 Pm 3.07-3.08

Results
As for the formation energy: -0.18 eV/atom. As for the space group: C2/m (12). As for the crystal system: monoclinic. The calculation puts the relative energy among the computed polymorphs at 189 meV/atom. For the total energy, the calculation gives -4.42 eV per atom. The volume comes out at 179.9 Å³/cell. Its spin magnetization is 0.00 Bohr magnetons per cell.

***

Entry 2:
PmCdAg6: relaxed, GGA-PBE.

Cell: 5.3218 5.3218 7.5863 Å, 75.57 75.57 62.25°
With the nearest neighbours (Å) after each atom.
Positions (direct):
Ag: 0.0504 0.5437 0.2958  5 Ag 2.71-2.96, 1 Cd 2.83, 1 Pm 3.04
Ag: 0.5437 0.0504 0.2958  5 Ag 2.71-2.96, 1 Cd 2.83, 1 Pm 3.04
Ag: 0.3635 0.3635 0.9383  5 Ag 2.90-2.96, 3 Cd 3.11-3.21, 1 Pm 3.19
Ag: 0.9496 0.4563 0.7042  5 Ag 2.71-2.96, 1 Cd 2.83, 1 Pm 3.04
Ag: 0.4563 0.9496 0.7042  5 Ag 2.71-2.96, 1 Cd 2.83, 1 Pm 3.04
Ag: 0.6365 0.6365 0.0617  5 Ag 2.90-2.96, 3 Cd 3.11-3.21, 1 Pm 3.19
Pm: 0.5000 0.5000 0.5000  10 Ag 3.04-3.19
Cd: 0.0000 0.0000 0.0000  8 Ag 2.83-3.11

Results
As for the formation energy: 0.06 eV/atom. As for the space group: C2/m (12). As for the crystal system: monoclinic. For the total energy, the calculation gives -2.79 eV per atom. The volume comes out at 181.9 Å³/cell. Its spin magnetization is 0.00 Bohr magnetons per cell.

***

Entry 3:
CsSr3Pd: relaxed, GGA-PBE.

Cell: 6.2612 6.2612 6.2612 Å, 90.00 90.00 90.00°
With the nearest neighbours (Å) after each atom.
Positions (direct):
Sr: 0.0000 0.5000 0.0000  2 Pd 3.13
Sr: 0.5000 0.0000 0.0000  2 Pd 3.13
Sr: 0.0000 0.0000 0.5000  2 Pd 3.13
Cs: 0.5000 0.5000 0.5000  12 Sr 4.43
Pd: 0.0000 0.0000 0.0000  6 Sr 3.13

Results
As for the formation energy: -0.20 eV/atom. As for the space group: Pm-3m (221). As for the crystal system: cubic. The calculation puts the relative energy among the computed polymorphs at 42 meV/atom. For the total energy, the calculation gives -2.42 eV per atom. The volume comes out at 245.5 Å³/cell. Its spin magnetization is 0.00 Bohr magnetons per cell.

***

Entry 4:
Ca2CdIn8: relaxed, GGA-PBE.

Cell: 4.9867 4.9867 12.0205 Å, 90.00 90.00 90.00°
With the nearest neighbours (Å) after each atom.
Positions (direct):
In: 0.0000 0.5000 0.5000  4 Ca 3.33, 8 In 3.39-3.53
In: 0.0000 0.5000 0.8627  2 Cd 2.99, 3 In 3.23-3.30, 2 Ca 3.29
In: 0.0000 0.5000 0.1373  2 Cd 2.99, 3 In 3.23-3.30, 2 Ca 3.29
In: 0.5000 0.0000 0.1373  2 Cd 2.99, 3 In 3.23-3.30, 2 Ca 3.29
In: 0.5000 0.0000 0.8627  2 Cd 2.99, 3 In 3.23-3.30, 2 Ca 3.29
In: 0.5000 0.5000 0.6916  8 In 3.23-3.39, 4 Ca 3.53
In: 0.5000 0.0000 0.5000  4 Ca 3.33, 8 In 3.39-3.53
In: 0.5000 0.5000 0.3084  8 In 3.23-3.39, 4 Ca 3.53
Cd: 0.0000 0.0000 0.0000  8 In 2.99
Ca: 0.0000 0.0000 0.3160  12 In 3.29-3.53
Ca: 0.0000 0.0000 0.6840  12 In 3.29-3.53

Results
As for the formation energy: -0.20 eV/atom. As for the space group: P4/mmm (123). As for the crystal system: tetragonal. For the total energy, the calculation gives -2.64 eV per atom. The volume comes out at 298.9 Å³/cell. Its spin magnetization is 0.00 Bohr magnetons per cell.